Compound: LiZrPb2
Source: the Alexandria database
Functional: GGA-PBEsol
Structure: optimized geometry

a = 6.971 Å, b = 8.140 Å, c = 3.211 Å
α = 90.00°, β = 90.00°, γ = 90.00°
Space group Cmmm (No. 65)
Symmetry-distinct sites (fractional):
Li: 0.000 0.000 0.000 [2 per cell]
Zr: 0.000 0.500 0.000 [2 per cell]
Pb: 0.250 0.250 0.500 [4 per cell]

Output
E_form, eV/atom: -0.22
Density of states at the Fermi level, states/eV/atom: 0.44
Magnetization, Bohr magnetons per cell: 0.00
V, Å³/f.u.: 91.1

=====

Compound: LaY2Sc
Source: the Alexandria database
Functional: GGA-PBEsol
Structure: optimized geometry

a = 3.777 Å, b = 5.593 Å, c = 11.339 Å
α = 90.00°, β = 90.00°, γ = 90.00°
Space group Immm (No. 71)
Symmetry-distinct sites (fractional):
La: 0.000 0.000 0.000 [2 per cell]
Y: 0.000 0.500 0.232 [4 per cell]
Sc: 0.000 0.000 0.500 [2 per cell]

Output
E_form, eV/atom: 0.09
Excess energy over the best structure of this formula in the dataset, meV/atom: 47.6
Density of states at the Fermi level, states/eV/atom: 1.63
Magnetization, Bohr magnetons per cell: 0.00
V, Å³/f.u.: 119.8

=====

Compound: Sc2ReW
Source: the Alexandria database
Functional: GGA-PBEsol
Structure: optimized geometry

a = 3.842 Å, b = 3.842 Å, c = 4.659 Å
α = 90.00°, β = 90.00°, γ = 90.00°
Space group P4/mmm (No. 123)
Symmetry-distinct sites (fractional):
Sc: 0.000 0.500 0.000 [2 per cell]
Re: 0.000 0.000 0.500 [1 per cell]
W: 0.500 0.500 0.500 [1 per cell]

Output
E_form, eV/atom: 0.24
Excess energy over the best structure of this formula in the dataset, meV/atom: 281.1
Density of states at the Fermi level, states/eV/atom: 0.99
Magnetization, Bohr magnetons per cell: 0.00
V, Å³/f.u.: 68.8

=====

Compound: Zr2TaCl
Source: the Alexandria database
Functional: GGA-PBEsol
Structure: optimized geometry

a = 3.831 Å, b = 3.831 Å, c = 10.340 Å
α = 90.00°, β = 90.00°, γ = 90.00°
Space group I-4m2 (No. 119)
Symmetry-distinct sites (fractional):
Zr: 0.000 0.000 0.000 [2 per cell]
Zr: 0.000 0.500 0.250 [2 per cell]
Ta: 0.000 0.500 0.750 [2 per cell]
Cl: 0.000 0.000 0.500 [2 per cell]

Output
Excess energy over the best structure of this formula in the dataset, meV/atom: 243.7
Density of states at the Fermi level, states/eV/atom: 0.82
Magnetization, Bohr magnetons per cell: 0.00
Energy relative to the elements, uncorrected, meV per atom: 260
V, Å³/f.u.: 75.9

=====

Compound: Hf3SbC
Source: the Alexandria database
Functional: GGA-PBEsol
Structure: optimized geometry

a = 4.473 Å, b = 4.473 Å, c = 4.473 Å
α = 90.00°, β = 90.00°, γ = 90.00°
Space group Pm-3m (No. 221)
Symmetry-distinct sites (fractional):
Hf: 0.000 0.000 0.500 [3 per cell]
Sb: 0.500 0.500 0.500 [1 per cell]
C: 0.000 0.000 0.000 [1 per cell]

Output
Density of states at the Fermi level, states/eV/atom: 0.78
Magnetization, Bohr magnetons per cell: 0.00
Energy relative to the elements, uncorrected, meV per atom: -423
V, Å³/f.u.: 89.5

=====

Compound: Al6C3N2
Source: the Alexandria database
Functional: GGA-PBEsol
Structure: optimized geometry

a = 3.2586 Å, b = 3.2586 Å, c = 40.2926 Å
α = 90.00°, β = 90.00°, γ = 120.00°
Space group R-3m (No. 166, hexagonal axes)
Symmetry-distinct sites (fractional):
Al: 0.0000 0.0000 0.0871 [6 per cell]
Al: 0.0000 0.0000 0.1894 [6 per cell]
Al: 0.0000 0.0000 0.3088 [6 per cell]
C: 0.0000 0.0000 0.0000 [3 per cell]
C: 0.0000 0.0000 0.1349 [6 per cell]
N: 0.0000 0.0000 0.2635 [6 per cell]

Output
Density of states at the Fermi level, states/eV/atom: 0.09
Magnetization, Bohr magnetons per cell: 0.00
Energy relative to the elements, uncorrected, meV per atom: -523
V, Å³/f.u.: 123.5

=====

Compound: YSiIr2
Source: the Alexandria database
Functional: GGA-PBEsol
Structure: optimized geometry

a = 5.4824 Å, b = 5.4824 Å, c = 15.1800 Å
α = 90.00°, β = 90.00°, γ = 120.00°
Space group P6_3/mmc (No. 194)
Symmetry-distinct sites (fractional):
Y: 0.3333 0.6667 0.0387 [4 per cell]
Y: 0.3333 0.6667 0.2500 [2 per cell]
Si: 0.0000 0.0000 0.0000 [2 per cell]
Si: 0.0000 0.0000 0.2500 [2 per cell]
Si: 0.3333 0.6667 0.7500 [2 per cell]
Ir: 0.1673 0.3346 0.6299 [12 per cell]

Output
Density of states at the Fermi level, states/eV/atom: 0.41
Magnetization, Bohr magnetons per cell: 0.00
Energy relative to the elements, uncorrected, meV per atom: -1009
V, Å³/f.u.: 65.9

=====

Compound: Mg8Pb
Source: the Alexandria database
Functional: GGA-PBEsol
Structure: optimized geometry

a = 9.575 Å, b = 9.575 Å, c = 4.510 Å
α = 90.00°, β = 90.00°, γ = 90.00°
Space group I4/mmm (No. 139)
Symmetry-distinct sites (fractional):
Mg: 0.000 0.336 0.000 [8 per cell]
Mg: 0.169 0.169 0.500 [8 per cell]
Pb: 0.000 0.000 0.000 [2 per cell]

Output
E_form, eV/atom: -0.03
Density of states at the Fermi level, states/eV/atom: 0.37
Magnetization, Bohr magnetons per cell: 0.00
V, Å³/f.u.: 206.7

=====

Compound: CuRhPbSe2
Source: the Alexandria database
Functional: GGA-PBEsol
Structure: optimized geometry

a = 5.315 Å, b = 5.315 Å, c = 4.984 Å
α = 90.00°, β = 90.00°, γ = 90.00°
Space group P4/mmm (No. 123)
Symmetry-distinct sites (fractional):
Cu: 0.000 0.000 0.000 [1 per cell]
Rh: 0.500 0.500 0.000 [1 per cell]
Pb: 0.500 0.500 0.500 [1 per cell]
Se: 0.000 0.500 0.500 [2 per cell]

Output
Density of states at the Fermi level, states/eV/atom: 1.16
Magnetization, Bohr magnetons per cell: 0.52
Energy relative to the elements, uncorrected, meV per atom: 1368
V, Å³/f.u.: 140.8

=====

Compound: BaLa2Cd
Source: the Alexandria database
Functional: GGA-PBEsol
Structure: optimized geometry

a = 8.066 Å, b = 8.105 Å, c = 4.043 Å
α = 90.00°, β = 90.00°, γ = 90.00°
Space group Cmmm (No. 65)
Symmetry-distinct sites (fractional):
Ba: 0.000 0.000 0.000 [2 per cell]
La: 0.250 0.250 0.500 [4 per cell]
Cd: 0.000 0.500 0.000 [2 per cell]

Output
E_form, eV/atom: 0.06
Excess energy over the best structure of this formula in the dataset, meV/atom: 157.3
Density of states at the Fermi level, states/eV/atom: 1.42
Magnetization, Bohr magnetons per cell: 0.00
V, Å³/f.u.: 132.2

=====

Compound: LaRuSe2
Source: the Alexandria database
Functional: GGA-PBEsol
Structure: optimized geometry

a = 3.974 Å, b = 5.619 Å, c = 7.412 Å
α = 90.00°, β = 90.00°, γ = 90.00°
Space group Immm (No. 71)
Symmetry-distinct sites (fractional):
La: 0.000 0.000 0.000 [2 per cell]
Ru: 0.000 0.000 0.500 [2 per cell]
Se: 0.000 0.500 0.196 [4 per cell]

Output
Excess energy over the best structure of this formula in the dataset, meV/atom: 0.0
Density of states at the Fermi level, states/eV/atom: 0.57
Magnetization, Bohr magnetons per cell: 0.00
Energy relative to the elements, uncorrected, meV per atom: -943
V, Å³/f.u.: 82.8

=====

Compound: Sr7RuN6
Source: the Alexandria database
Functional: GGA-PBEsol
Structure: optimized geometry

a = 11.722 Å, b = 6.590 Å, c = 13.784 Å
α = 90.00°, β = 90.00°, γ = 90.00°
Space group Pbcn (No. 60)
Symmetry-distinct sites (fractional):
Sr: 0.000 0.070 0.250 [4 per cell]
Sr: 0.037 0.234 0.520 [8 per cell]
Sr: 0.210 0.392 0.122 [8 per cell]
Sr: 0.219 0.367 0.874 [8 per cell]
Ru: 0.000 0.422 0.750 [4 per cell]
N: 0.034 0.412 0.359 [8 per cell]
N: 0.123 0.255 0.707 [8 per cell]
N: 0.167 0.094 0.996 [8 per cell]

Output
Density of states at the Fermi level, states/eV/atom: 0.29
Magnetization, Bohr magnetons per cell: 0.00
Energy relative to the elements, uncorrected, meV per atom: -584
V, Å³/f.u.: 266.2